(1)
Crystalline TaRhBr2 at its relaxed geometry. Source: the Alexandria database, functional PBE-GGA.

Calculated values
Calculated total energy = -5.00 eV/atom
ΔE to the lowest computed polymorph = 1.044 eV per atom
D(E_F) = 4.15 states/eV/f.u.
ΔE_f (raw) = 0.633 eV per atom

Lattice parameters (Å, degrees): 4.6227 4.6227 4.6227 60.00 60.00 60.00
Fractional positions:
Rh: 0.0000 0.0000 0.0000
Br: 0.2500 0.2500 0.2500
Br: 0.7500 0.7500 0.7500
Ta: 0.5000 0.5000 0.5000

***

(2)
Crystalline TaRh2Br2 at its relaxed geometry. Source: the Alexandria database, functional PBE-GGA.

Calculated values
Calculated total energy = -5.18 eV/atom
ΔE to the lowest computed polymorph = 0.394 eV per atom
D(E_F) = 2.84 states/eV/f.u.
ΔE_f (raw) = 0.798 eV per atom

Lattice parameters (Å, degrees): 3.5987 3.5987 8.7542 78.14 78.14 90.00
Fractional positions:
Rh: 0.5763 0.5763 0.8474
Rh: 0.4237 0.4237 0.1526
Br: 0.7500 0.2500 0.5000
Ta: 0.0000 0.0000 0.0000
Br: 0.2500 0.7500 0.5000

***

(3)
Crystalline TaRhBr2 at its relaxed geometry. Source: the Alexandria database, functional PBE-GGA.

Calculated values
Calculated total energy = -5.36 eV/atom
ΔE to the lowest computed polymorph = 0.687 eV per atom
D(E_F) = 4.96 states/eV/f.u.
ΔE_f (raw) = 0.276 eV per atom

Lattice parameters (Å, degrees): 8.9791 8.9791 8.9791 20.59 20.59 20.59
Fractional positions:
Br: 0.0931 0.0931 0.0931
Br: 0.9069 0.9069 0.9069
Rh: 0.0000 0.0000 0.0000
Ta: 0.5000 0.5000 0.5000

***

(4)
Crystalline Ta3RhBr at its relaxed geometry. Source: the Alexandria database, functional PBE-GGA.

Calculated values
Calculated total energy = -7.37 eV/atom
ΔE to the lowest computed polymorph = 0.271 eV per atom
D(E_F) = 11.45 states/eV/f.u.
ΔE_f (raw) = 1.544 eV per atom

Lattice parameters (Å, degrees): 4.6592 4.6592 4.6592 90.00 90.00 90.00
Fractional positions:
Br: 0.0000 0.0000 0.0000
Ta: 0.0000 0.0000 0.5000
Ta: 0.0000 0.5000 0.0000
Rh: 0.5000 0.5000 0.5000
Ta: 0.5000 0.0000 0.0000

***

(5)
Crystalline TaRhBr2 at its relaxed geometry. Source: the Alexandria database, functional PBE-GGA.

Calculated values
Calculated total energy = -5.90 eV/atom
ΔE to the lowest computed polymorph = 0.150 eV per atom
ΔE_f (raw) = -0.261 eV per atom

Lattice parameters (Å, degrees): 7.3568 5.0704 7.3633 106.12 138.85 105.29
Fractional positions:
Rh: 0.2005 0.2812 0.8256
Ta: 0.5304 0.9674 0.1554
Br: 0.2444 0.1328 0.1599
Br: 0.5247 0.1186 0.8591

***

(6)
Crystalline TaRhBr2 at its relaxed geometry. Source: the Alexandria database, functional PBE-GGA.

Calculated values
Calculated total energy = -5.74 eV/atom
ΔE to the lowest computed polymorph = 0.310 eV per atom
D(E_F) = 2.05 states/eV/f.u.
ΔE_f (raw) = -0.102 eV per atom

Lattice parameters (Å, degrees): 7.9905 7.9905 7.9905 156.63 149.18 39.04
Fractional positions:
Br: 0.3930 0.3930 0.0000
Ta: 0.2500 0.7500 0.5000
Rh: 0.7500 0.2500 0.5000
Br: 0.1070 0.1070 0.0000

***

(7)
Crystalline Tb3RhBr3 at its relaxed geometry. Source: the Alexandria database, functional PBE-GGA.

Calculated values
Calculated total energy = -5.11 eV/atom
D(E_F) = 3.28 states/eV/f.u.
ΔE_f (raw) = -1.357 eV per atom

Lattice parameters (Å, degrees): 4.0858 8.6004 11.9182 91.55 90.00 90.00
Fractional positions:
Tb: 0.2500 0.8555 0.6368
Br: 0.7500 0.1335 0.0997
Tb: 0.7500 0.1015 0.8303
Tb: 0.2500 0.8985 0.1697
Br: 0.2500 0.4296 0.3699
Rh: 0.2500 0.9417 0.4023
Br: 0.2500 0.8665 0.9003
Rh: 0.7500 0.0583 0.5977
Tb: 0.2500 0.2734 0.6034
Br: 0.7500 0.6563 0.1429
Br: 0.7500 0.5704 0.6301
Tb: 0.7500 0.1445 0.3632
Tb: 0.7500 0.7266 0.3966
Br: 0.2500 0.3437 0.8571

***

(8)
Crystalline Tb7RhBr12 at its relaxed geometry. Source: the Alexandria database, functional PBE-GGA.

Calculated values
Calculated total energy = -4.60 eV/atom
D(E_F) = 3.33 states/eV/f.u.
ΔE_f (raw) = -1.604 eV per atom

Lattice parameters (Å, degrees): 9.3065 9.3065 9.3065 106.66 106.66 106.66
Fractional positions:
Br: 0.7804 0.9294 0.3253
Tb: 0.3072 0.1000 0.0188
Br: 0.9294 0.3253 0.7804
Br: 0.2196 0.0706 0.6747
Br: 0.1691 0.3828 0.4610
Br: 0.3828 0.4610 0.1691
Br: 0.6172 0.5390 0.8309
Tb: 0.5000 0.5000 0.5000
Tb: 0.9000 0.9812 0.6928
Br: 0.0706 0.6747 0.2196
Tb: 0.9812 0.6928 0.9000
Tb: 0.6928 0.9000 0.9812
Br: 0.4610 0.1691 0.3828
Br: 0.8309 0.6172 0.5390
Br: 0.5390 0.8309 0.6172
Br: 0.3253 0.7804 0.9294
Tb: 0.0188 0.3072 0.1000
Br: 0.6747 0.2196 0.0706
Rh: 0.0000 0.0000 0.0000
Tb: 0.1000 0.0188 0.3072